1.
The following is a DFT calculation (GGA-PBE) of a geometry-optimized Mg2NbRh structure.

Unit cell a=5.933 b=5.933 c=5.933 alpha=101.62 beta=101.62 gamma=126.68
Atoms (fractional coordinates):
Mg 0.088 0.625 0.963
Mg 0.375 0.338 0.463
Mg 0.662 0.125 0.037
Mg 0.875 0.912 0.537
Nb 0.250 0.750 0.500
Nb 0.500 0.500 0.000
Rh 0.000 0.000 0.000
Rh 0.750 0.250 0.500

## Properties
Relative energy among the computed polymorphs = 166 meV per atom
ΔH_f (0 K) = 0.342 eV/atom
Final energy = -4.811 eV/atom
SG = No. 122

2.
The following is a DFT calculation (GGA-PBE) of a geometry-optimized MgNbRu2Rh structure.

Unit cell a=4.354 b=4.354 c=4.654 alpha=90.00 beta=90.00 gamma=90.00
Atoms (fractional coordinates):
Mg 0.000 0.000 0.000
Nb 0.000 0.000 0.500
Ru 0.000 0.500 0.000
Ru 0.500 0.000 0.000
Rh 0.500 0.500 0.500

## Properties
ΔH_f (0 K) = 1.667 eV/atom
Final energy = -5.847 eV/atom
SG = No. 123

3.
The following is a DFT calculation (GGA-PBE) of a geometry-optimized Mg2NbRuRh structure.

Unit cell a=4.689 b=4.689 c=4.728 alpha=90.00 beta=90.00 gamma=90.00
Atoms (fractional coordinates):
Mg 0.000 0.500 0.000
Mg 0.500 0.000 0.000
Nb 0.000 0.000 0.500
Ru 0.500 0.500 0.500
Rh 0.500 0.500 0.000

## Properties
ΔH_f (0 K) = 0.920 eV/atom
Final energy = -5.057 eV/atom
SG = No. 123

4.
The following is a DFT calculation (GGA-PBE) of a geometry-optimized MgNbRuRh structure.

Unit cell a=4.445 b=4.445 c=4.445 alpha=60.00 beta=60.00 gamma=60.00
Atoms (fractional coordinates):
Mg 0.000 0.000 0.000
Nb 0.500 0.500 0.500
Ru 0.750 0.750 0.750
Rh 0.250 0.250 0.250

## Properties
ΔH_f (0 K) = -0.439 eV/atom
Final energy = -7.512 eV/atom
SG = No. 216

5.
The following is a DFT calculation (GGA-PBE) of a geometry-optimized MgScNbRh2 structure.

Unit cell a=4.770 b=4.770 c=4.985 alpha=90.00 beta=90.00 gamma=90.00
Atoms (fractional coordinates):
Mg 0.000 0.000 0.000
Sc 0.500 0.500 0.000
Nb 0.500 0.500 0.500
Rh 0.000 0.500 0.500
Rh 0.500 0.000 0.500

## Properties
ΔH_f (0 K) = 0.555 eV/atom
Final energy = -5.985 eV/atom
SG = No. 123

6.
The following is a DFT calculation (GGA-PBE) of a geometry-optimized Mg2NbSi2Rh5 structure.

Unit cell a=9.511 b=9.511 c=3.408 alpha=90.00 beta=90.00 gamma=90.00
Atoms (fractional coordinates):
Mg 0.172 0.328 0.000
Mg 0.328 0.828 0.000
Mg 0.672 0.172 0.000
Mg 0.828 0.672 0.000
Nb 0.000 0.000 0.000
Nb 0.500 0.500 0.000
Si 0.126 0.626 0.000
Si 0.374 0.126 0.000
Si 0.626 0.874 0.000
Si 0.874 0.374 0.000
Rh 0.000 0.500 0.500
Rh 0.073 0.794 0.500
Rh 0.206 0.073 0.500
Rh 0.294 0.573 0.500
Rh 0.427 0.294 0.500
Rh 0.500 0.000 0.500
Rh 0.573 0.706 0.500
Rh 0.706 0.427 0.500
Rh 0.794 0.927 0.500
Rh 0.927 0.206 0.500

## Properties
Uncorrected formation energy = -0.64 eV per atom
Final energy = -6.725 eV/atom
SG = No. 127

7.
The following is a DFT calculation (GGA-PBE) of a geometry-optimized MgNbSn2Rh4 structure.

Unit cell a=7.839 b=7.839 c=7.839 alpha=33.76 beta=33.76 gamma=33.76
Atoms (fractional coordinates):
Mg 0.000 0.000 0.000
Nb 0.500 0.500 0.500
Sn 0.254 0.254 0.254
Sn 0.746 0.746 0.746
Rh 0.130 0.130 0.130
Rh 0.381 0.381 0.381
Rh 0.619 0.619 0.619
Rh 0.870 0.870 0.870

## Properties
ΔH_f (0 K) = -0.520 eV/atom
Final energy = -6.655 eV/atom
SG = No. 166

8.
The following is a DFT calculation (GGA-PBE) of a geometry-optimized Mg2NbRu2 structure.

Unit cell a=7.032 b=7.032 c=3.357 alpha=90.00 beta=90.00 gamma=90.00
Atoms (fractional coordinates):
Mg 0.145 0.355 0.000
Mg 0.355 0.855 0.000
Mg 0.645 0.145 0.000
Mg 0.855 0.645 0.000
Nb 0.000 0.000 0.500
Nb 0.500 0.500 0.500
Ru 0.155 0.655 0.500
Ru 0.345 0.155 0.500
Ru 0.655 0.845 0.500
Ru 0.845 0.345 0.500

## Properties
ΔH_f (0 K) = 0.125 eV/atom
Final energy = -6.237 eV/atom
SG = No. 127

9.
The following is a DFT calculation (GGA-PBE) of a geometry-optimized Mg2NbRu structure.

Unit cell a=5.922 b=5.922 c=5.922 alpha=101.49 beta=101.49 gamma=126.98
Atoms (fractional coordinates):
Mg 0.095 0.625 0.970
Mg 0.375 0.345 0.470
Mg 0.655 0.125 0.030
Mg 0.875 0.905 0.530
Nb 0.250 0.750 0.500
Nb 0.500 0.500 0.000
Ru 0.000 0.000 0.000
Ru 0.750 0.250 0.500

## Properties
Relative energy among the computed polymorphs = 205 meV per atom
ΔH_f (0 K) = 0.610 eV/atom
Final energy = -5.024 eV/atom
SG = No. 122

10.
The following is a DFT calculation (GGA-PBE) of a geometry-optimized MgNb2Ru structure.

Unit cell a=10.354 b=10.354 c=10.354 alpha=16.00 beta=16.00 gamma=16.00
Atoms (fractional coordinates):
Mg 0.000 0.000 0.000
Nb 0.095 0.095 0.095
Nb 0.905 0.905 0.905
Ru 0.500 0.500 0.500

## Properties
ΔH_f (0 K) = 0.319 eV/atom
Final energy = -7.433 eV/atom
SG = No. 166

11.
The following is a DFT calculation (GGA-PBE) of a geometry-optimized MgNb2Ru2 structure.

Unit cell a=8.917 b=8.917 c=3.092 alpha=90.00 beta=90.00 gamma=159.86
Atoms (fractional coordinates):
Mg 0.000 0.000 0.000
Nb 0.181 0.819 0.000
Nb 0.819 0.181 0.000
Ru 0.403 0.597 0.500
Ru 0.597 0.403 0.500

## Properties
Relative energy among the computed polymorphs = 110 meV per atom
ΔH_f (0 K) = -0.006 eV/atom
Final energy = -8.063 eV/atom
SG = No. 65

12.
The following is a DFT calculation (GGA-PBE) of a geometry-optimized MgNb3Ru structure.

Unit cell a=4.651 b=4.651 c=4.651 alpha=90.00 beta=90.00 gamma=90.00
Atoms (fractional coordinates):
Mg 0.000 0.000 0.000
Nb 0.000 0.000 0.500
Nb 0.000 0.500 0.000
Nb 0.500 0.000 0.000
Ru 0.500 0.500 0.500

## Properties
ΔH_f (0 K) = 1.935 eV/atom
Final energy = -6.281 eV/atom
SG = No. 221

13.
The following is a DFT calculation (GGA-PBE) of a geometry-optimized MgNb2Ru structure.

Unit cell a=5.987 b=5.987 c=5.987 alpha=101.83 beta=101.83 gamma=126.15
Atoms (fractional coordinates):
Mg 0.000 0.000 0.000
Mg 0.750 0.250 0.500
Nb 0.177 0.625 0.052
Nb 0.375 0.427 0.552
Nb 0.573 0.125 0.948
Nb 0.875 0.823 0.448
Ru 0.250 0.750 0.500
Ru 0.500 0.500 0.000

## Properties
ΔH_f (0 K) = 0.375 eV/atom
Final energy = -7.377 eV/atom
SG = No. 122

14.
The following is a DFT calculation (GGA-PBE) of a geometry-optimized MgNbRu3 structure.

Unit cell a=4.729 b=4.729 c=4.729 alpha=90.00 beta=90.00 gamma=90.00
Atoms (fractional coordinates):
Mg 0.000 0.000 0.000
Nb 0.500 0.500 0.500
Ru 0.000 0.500 0.500
Ru 0.500 0.000 0.500
Ru 0.500 0.500 0.000

## Properties
Relative energy among the computed polymorphs = 0 meV per atom
ΔH_f (0 K) = 1.212 eV/atom
Final energy = -6.686 eV/atom
SG = No. 221

15.
The following is a DFT calculation (GGA-PBE) of a geometry-optimized MgNb2Ru3 structure.

Unit cell a=3.171 b=3.171 c=9.515 alpha=90.00 beta=90.00 gamma=90.00
Atoms (fractional coordinates):
Mg 0.000 0.000 0.000
Nb 0.000 0.000 0.327
Nb 0.000 0.000 0.673
Ru 0.500 0.500 0.177
Ru 0.500 0.500 0.500
Ru 0.500 0.500 0.823

## Properties
ΔH_f (0 K) = -0.311 eV/atom
Final energy = -8.571 eV/atom
SG = No. 123

16.
The following is a DFT calculation (GGA-PBE) of a geometry-optimized MgNbRu3 structure.

Unit cell a=4.384 b=4.384 c=4.384 alpha=90.00 beta=90.00 gamma=90.00
Atoms (fractional coordinates):
Mg 0.000 0.000 0.000
Nb 0.500 0.500 0.500
Ru 0.000 0.000 0.500
Ru 0.000 0.500 0.000
Ru 0.500 0.000 0.000

## Properties
Relative energy among the computed polymorphs = 99 meV per atom
ΔH_f (0 K) = 1.312 eV/atom
Final energy = -6.587 eV/atom
SG = No. 221

17.
The following is a DFT calculation (GGA-PBE) of a geometry-optimized MgNb3Ru4 structure.

Unit cell a=7.084 b=7.084 c=7.084 alpha=143.31 beta=143.31 gamma=52.86
Atoms (fractional coordinates):
Mg 0.000 0.000 0.000
Nb 0.247 0.247 0.000
Nb 0.500 0.500 0.000
Nb 0.753 0.753 0.000
Ru 0.125 0.625 0.500
Ru 0.375 0.875 0.500
Ru 0.625 0.125 0.500
Ru 0.875 0.375 0.500

## Properties
ΔH_f (0 K) = -0.314 eV/atom
Final energy = -8.927 eV/atom
SG = No. 139

18.
The following is a DFT calculation (GGA-PBE) of a geometry-optimized MgNb4Ru5 structure.

Unit cell a=3.193 b=3.193 c=15.735 alpha=90.00 beta=90.00 gamma=90.00
Atoms (fractional coordinates):
Mg 0.000 0.000 0.000
Nb 0.000 0.000 0.196
Nb 0.000 0.000 0.399
Nb 0.000 0.000 0.601
Nb 0.000 0.000 0.804
Ru 0.500 0.500 0.106
Ru 0.500 0.500 0.302
Ru 0.500 0.500 0.500
Ru 0.500 0.500 0.698
Ru 0.500 0.500 0.894

## Properties
ΔH_f (0 K) = -0.254 eV/atom
Final energy = -9.080 eV/atom
SG = No. 123

19.
The following is a DFT calculation (GGA-PBE) of a geometry-optimized MgNb2Ru2 structure.

Unit cell a=7.554 b=7.554 c=3.047 alpha=90.00 beta=90.00 gamma=90.00
Atoms (fractional coordinates):
Mg 0.000 0.000 0.000
Mg 0.500 0.500 0.000
Nb 0.156 0.344 0.500
Nb 0.344 0.844 0.500
Nb 0.656 0.156 0.500
Nb 0.844 0.656 0.500
Ru 0.142 0.642 0.000
Ru 0.358 0.142 0.000
Ru 0.642 0.858 0.000
Ru 0.858 0.358 0.000

## Properties
Relative energy among the computed polymorphs = 0 meV per atom
ΔH_f (0 K) = -0.116 eV/atom
Final energy = -8.173 eV/atom
SG = No. 127

20.
The following is a DFT calculation (GGA-PBE) of a geometry-optimized MgNb2Ru2 structure.

Unit cell a=7.698 b=7.698 c=2.955 alpha=90.00 beta=90.00 gamma=90.00
Atoms (fractional coordinates):
Mg 0.000 0.000 0.000
Mg 0.500 0.500 0.000
Nb 0.146 0.354 0.000
Nb 0.354 0.854 0.000
Nb 0.646 0.146 0.000
Nb 0.854 0.646 0.000
Ru 0.150 0.650 0.500
Ru 0.350 0.150 0.500
Ru 0.650 0.850 0.500
Ru 0.850 0.350 0.500

## Properties
Relative energy among the computed polymorphs = 109 meV per atom
ΔH_f (0 K) = -0.007 eV/atom
Final energy = -8.064 eV/atom
SG = No. 127

21.
The following is a DFT calculation (GGA-PBE) of a geometry-optimized Mg2NbRu structure.

Unit cell a=4.579 b=4.579 c=4.579 alpha=60.00 beta=60.00 gamma=60.00
Atoms (fractional coordinates):
Mg 0.250 0.250 0.250
Mg 0.750 0.750 0.750
Nb 0.000 0.000 0.000
Ru 0.500 0.500 0.500

## Properties
Relative energy among the computed polymorphs = 0 meV per atom
ΔH_f (0 K) = 0.404 eV/atom
Final energy = -5.229 eV/atom
SG = No. 225

22.
The following is a DFT calculation (GGA-PBE) of a geometry-optimized MgScNbRu structure.

Unit cell a=4.644 b=4.644 c=4.644 alpha=60.00 beta=60.00 gamma=60.00
Atoms (fractional coordinates):
Mg 0.000 0.000 0.000
Sc 0.250 0.250 0.250
Nb 0.750 0.750 0.750
Ru 0.500 0.500 0.500

## Properties
ΔH_f (0 K) = -0.117 eV/atom
Final energy = -6.935 eV/atom
SG = No. 216

23.
The following is a DFT calculation (GGA-PBE) of a geometry-optimized MgNbSnRu structure.

Unit cell a=4.615 b=4.615 c=4.615 alpha=60.00 beta=60.00 gamma=60.00
Atoms (fractional coordinates):
Mg 0.000 0.000 0.000
Nb 0.250 0.250 0.250
Sn 0.750 0.750 0.750
Ru 0.500 0.500 0.500

## Properties
ΔH_f (0 K) = -0.029 eV/atom
Final energy = -6.264 eV/atom
SG = No. 216

24.
The following is a DFT calculation (GGA-PBE) of a geometry-optimized MgNbTcRu structure.

Unit cell a=4.464 b=4.464 c=4.464 alpha=60.00 beta=60.00 gamma=60.00
Atoms (fractional coordinates):
Mg 0.000 0.000 0.000
Nb 0.500 0.500 0.500
Tc 0.750 0.750 0.750
Ru 0.250 0.250 0.250

## Properties
ΔH_f (0 K) = -0.069 eV/atom
Final energy = -7.895 eV/atom
SG = No. 216

25.
The following is a DFT calculation (GGA-PBE) of a geometry-optimized Mg2NbTeRu structure.

Unit cell a=5.038 b=5.038 c=4.714 alpha=90.00 beta=90.00 gamma=90.00
Atoms (fractional coordinates):
Mg 0.000 0.500 0.000
Mg 0.500 0.000 0.000
Nb 0.000 0.000 0.500
Te 0.500 0.500 0.500
Ru 0.000 0.000 0.000

## Properties
Uncorrected formation energy = 0.36 eV per atom
Final energy = -4.774 eV/atom
SG = No. 123

26.
The following is a DFT calculation (GGA-PBE) of a geometry-optimized MgNb2S structure.

Unit cell a=10.233 b=10.233 c=10.233 alpha=158.32 beta=158.32 gamma=30.85
Atoms (fractional coordinates):
Mg 0.000 0.000 0.000
Mg 0.750 0.250 0.500
Nb 0.130 0.625 0.005
Nb 0.375 0.380 0.505
Nb 0.620 0.125 0.995
Nb 0.875 0.870 0.495
S 0.250 0.750 0.500
S 0.500 0.500 0.000

## Properties
Relative energy among the computed polymorphs = 0 meV per atom
Uncorrected formation energy = 0.11 eV per atom
Final energy = -6.354 eV/atom
SG = No. 122